1.
DFT (GGA-PBE) results for a relaxed structure of BaTh2Hg6.

Calculated values
Energy relative to the elements, meV/atom: -299
E_tot, eV per atom: -2.36

a b c (Å): 3.4689 8.9569 8.9581
angles (deg): 120.00 90.06 90.00
Element x y z (fractional)
Ba: 0.0000 0.0000 0.0000
Th: 0.9995 0.3334 0.6668
Th: 0.0005 0.6666 0.3332
Hg: 0.5014 0.3380 0.3380
Hg: 0.4986 0.6620 0.6620
Hg: 0.4986 0.0000 0.6620
Hg: 0.5000 0.6620 0.0000
Hg: 0.5000 0.3380 0.0000
Hg: 0.5014 0.0000 0.3380

2.
DFT (GGA-PBE) results for a relaxed structure of Ba7Sr2Ca2.

Calculated values
Energy relative to the elements, meV/atom: 122
E_tot, eV per atom: -1.77
Relative energy among the computed polymorphs, eV per formula unit: 0.249

a b c (Å): 7.5359 9.6098 9.6098
angles (deg): 94.59 75.40 75.40
Element x y z (fractional)
Ba: 0.1650 0.0792 0.5850
Ba: 0.8350 0.4150 0.9208
Ba: 0.8350 0.9208 0.4150
Ba: 0.1650 0.5850 0.0792
Ba: 0.0000 0.0000 0.0000
Ba: 0.5812 0.7760 0.7760
Ba: 0.4188 0.2240 0.2240
Sr: 0.5000 0.2451 0.7549
Sr: 0.5000 0.7549 0.2451
Ca: 0.8116 0.4090 0.4090
Ca: 0.1884 0.5910 0.5910

DOS(E_F) (computed, states/eV per cell): 4.4 16.4